22
Lattice="5.455 -3.714 0.000 5.455 3.714 0.000 -2.249 0.000 8.292" Properties=species:S:1:pos:R:3 comment="PBE with a Hubbard U UMnO3F6, relaxed" energy_ev_per_atom=-6.153 total_magnetization_mub_per_atom=0.091 pbc="T T T"
U 3.768 2.818 6.219
U 4.893 -2.818 2.073
Mn 2.727 1.857 0.000
Mn 1.603 -1.857 4.146
O 3.699 0.483 0.069
O 3.768 1.008 6.219
O 2.574 -0.483 4.215
O 6.087 0.483 4.077
O 4.893 -1.008 2.073
O 4.962 -0.483 8.223
F 3.797 2.699 1.377
F 1.612 1.138 1.399
F 3.451 2.633 4.208
F 4.086 2.633 8.230
F 5.988 2.699 2.769
F 0.488 -1.138 5.544
F 8.173 1.138 2.747
F 2.673 -2.699 5.523
F 4.575 -2.633 0.062
F 5.210 -2.633 4.084
F 7.048 -1.138 6.893
F 4.863 -2.699 6.915